Entry 1:
Compound: YTa2Sb
Source: the Alexandria database
Functional: PBE
Structure: relaxed

Lattice parameters (Å, degrees): 10.2863 3.4529 5.0553 90.00 104.32 90.00
Space group C2/m (No. 12)
Inequivalent atoms, fractional coordinates:
Y: 0.0000 0.0000 0.0000 (multiplicity 2)
Ta: 0.2403 0.0000 0.7161 (multiplicity 4)
Sb: 0.0000 0.5000 0.5000 (multiplicity 2)

Calculated values
Total moment, μB per formula unit: 0.00
D(E_F), states/eV/f.u.: 4.82
Formation energy (no corrections), eV per atom: 0.1086
DFT total energy, eV per atom: -8.46



Entry 2:
Compound: CsBeHg
Source: the Alexandria database
Functional: PBE
Structure: relaxed

Lattice parameters (Å, degrees): 4.6062 6.9074 7.2739 113.23 108.45 90.06
Space group P-1 (No. 2)
Inequivalent atoms, fractional coordinates:
Cs: 0.2102 0.2172 0.4211 (multiplicity 2)
Be: 0.4985 0.6476 0.9964 (multiplicity 2)
Hg: 0.0000 0.5000 0.0000 (multiplicity 1)
Hg: 0.5000 0.0000 0.0000 (multiplicity 1)

Calculated values
Total moment, μB per formula unit: 0.00
D(E_F), states/eV/f.u.: 1.12
DFT total energy, eV per atom: -1.42
ΔH_f (0 K), eV/f.u.: 0.62
Polymorph energy (0 for the lowest one), eV per atom: 0.000



Entry 3:
Compound: Hf5Ti2Sb5
Source: the Alexandria database
Functional: PBE
Structure: relaxed

Lattice parameters (Å, degrees): 14.1365 3.7795 11.3319 90.00 120.50 90.00
Space group C2/m (No. 12)
Inequivalent atoms, fractional coordinates:
Hf: 0.0000 0.0000 0.0000 (multiplicity 2)
Hf: 0.1278 0.0000 0.7591 (multiplicity 4)
Hf: 0.1641 0.0000 0.5027 (multiplicity 4)
Ti: 0.0565 0.5000 0.2698 (multiplicity 4)
Sb: 0.0000 0.5000 0.5000 (multiplicity 2)
Sb: 0.1456 0.5000 0.9753 (multiplicity 4)
Sb: 0.2087 0.0000 0.2660 (multiplicity 4)

Calculated values
Total moment, μB per formula unit: 0.00
D(E_F), states/eV/f.u.: 9.77
Formation energy (no corrections), eV per atom: -0.4030
DFT total energy, eV per atom: -7.58



Entry 4:
Compound: ThZr2Ti
Source: the Alexandria database
Functional: PBE
Structure: relaxed

Lattice parameters (Å, degrees): 3.5945 3.5945 7.4350 90.00 90.00 90.00
Space group P4/mmm (No. 123)
Inequivalent atoms, fractional coordinates:
Th: 0.0000 0.0000 0.0000 (multiplicity 1)
Zr: 0.5000 0.5000 0.2951 (multiplicity 2)
Ti: 0.0000 0.0000 0.5000 (multiplicity 1)

Calculated values
Total moment, μB per formula unit: 0.00
D(E_F), states/eV/f.u.: 6.70
DFT total energy, eV per atom: -7.99
ΔH_f (0 K), eV/f.u.: 0.46
Polymorph energy (0 for the lowest one), eV per atom: 0.000